[1]
DFT (PBE-GGA) results for a relaxed structure of MnCdIn2.

Summary:
- uncorrected energy (eV for the cell shown) = -14.8

Unit cell a=9.590 b=9.590 c=9.590 alpha=19.70 beta=19.70 gamma=19.70
Element x y z (fractional)
Mn1 0.000 0.000 0.000
Cd1 0.500 0.500 0.500
In1 0.256 0.256 0.256
In2 0.744 0.744 0.744

***

[2]
DFT (PBE-GGA) results for a relaxed structure of Li3SmGa3.

Summary:
- energy above the most stable polymorph in this dataset (eV/atom) = 0.000

Unit cell a=7.285 b=4.383 c=9.224 alpha=90.00 beta=108.72 gamma=90.00
Element x y z (fractional)
Li1 0.030 0.250 0.253
Li2 0.188 0.250 0.944
Li3 0.276 0.750 0.286
Li4 0.724 0.250 0.714
Li5 0.812 0.750 0.056
Li6 0.970 0.750 0.747
Sm1 0.380 0.750 0.710
Sm2 0.620 0.250 0.290
Ga1 0.054 0.250 0.586
Ga2 0.367 0.250 0.480
Ga3 0.423 0.750 0.049
Ga4 0.577 0.250 0.951
Ga5 0.633 0.750 0.520
Ga6 0.946 0.750 0.414